Entry from the Alexandria database: crystalline Cs2PaBeS4 at its relaxed geometry (PBE). Values from VASP.

Computed properties:
The calculation puts the calculated total energy at -0.377 Ry per atom. As for the raw formation energy: -1194 meV per atom.

Cell and atoms, written as Quantum ESPRESSO input:
```
&SYSTEM
  ibrav = 0, nat = 16, ntyp = 4
/
ATOMIC_SPECIES
Cs 132.91 Cs.upf
Pa 231.04 Pa.upf
Be 9.01 Be.upf
S 32.06 S.upf
CELL_PARAMETERS angstrom
0.0000 7.3015 13.1507
3.0381 0.0000 13.1507
3.0381 7.3015 0.0000
ATOMIC_POSITIONS crystal
Cs 0.0522 0.0522 0.6978
Cs 0.3022 0.3022 0.9478
Cs 0.6978 0.6978 0.0522
Cs 0.9478 0.9478 0.3022
Pa 0.1250 0.1250 0.1250
Pa 0.8750 0.8750 0.8750
Be 0.3750 0.3750 0.3750
Be 0.6250 0.6250 0.6250
S 0.0363 0.6189 0.5361
S 0.3088 0.5361 0.6189
S 0.3811 0.9637 0.6912
S 0.4639 0.6912 0.9637
S 0.5361 0.3088 0.0363
S 0.6189 0.0363 0.3088
S 0.6912 0.4639 0.3811
S 0.9637 0.3811 0.4639
```

=====

Entry from the Alexandria database: crystalline Li3CdGe at its relaxed geometry (PBE). Values from VASP.

Computed properties:
The calculation puts the calculated total energy at -0.164 Ry per atom. The calculation puts the energy above the most stable polymorph in this dataset at 0.2892 eV per atom. Its density of states at the Fermi level is 1.40 states/eV/cell. As for the formation energy: 0.024 eV per atom.

Cell and atoms, written as Quantum ESPRESSO input:
```
&SYSTEM
  ibrav = 0, nat = 5, ntyp = 3
/
ATOMIC_SPECIES
Li 6.94 Li.upf
Cd 112.41 Cd.upf
Ge 72.64 Ge.upf
CELL_PARAMETERS angstrom
4.8286 0.0000 0.0000
0.0000 4.8286 0.0000
0.0000 0.0000 4.8286
ATOMIC_POSITIONS crystal
Li 0.0000 0.0000 0.5000
Li 0.0000 0.5000 0.0000
Li 0.5000 0.0000 0.0000
Cd 0.5000 0.5000 0.5000
Ge 0.0000 0.0000 0.0000
```